Below is a relaxed CaHfS2O8 crystal, with properties calculated at the GGA-PBE level.

abc: 5.074 5.074 7.350
angles: 90.00 90.00 120.00
Site moments in Bohr magnetons follow the coordinates.
Positions (direct):
O: 0.827 0.172 0.275  0.00
O: 0.667 0.333 0.010  0.00
O: 0.345 0.173 0.275  0.00
O: 0.333 0.667 0.990  0.00
O: 0.828 0.655 0.275  0.00
O: 0.172 0.345 0.725  0.00
O: 0.173 0.828 0.725  0.00
O: 0.655 0.827 0.725  0.00
S: 0.667 0.333 0.210  0.01
S: 0.333 0.667 0.790  0.01
Ca: 0.000 0.000 0.000  0.01
Hf: 0.000 0.000 0.500  0.89

* total moment: 1.46 μB/cell
* raw formation energy: -1730 meV per atom
* calculated total energy: -0.2470 hartree per atom
* crystal system: trigonal